Entry 1:
A plane-wave DFT calculation with SCAN was carried out for a PBEsol-optimized structure of KHg2Au.

a b c (Å): 3.6654 5.3231 10.4128
angles (deg): 90.00 90.00 90.00
With the nearest neighbours (Å) after each atom.
Space group Immm (No. 71)
Symmetry-distinct sites (fractional):
K 0.0000 0.0000 0.0000 x2  4 Au 3.23, 8 Hg 3.47-3.49
Hg 0.0000 0.5000 0.2143 x4  2 Au 2.89
Au 0.0000 0.0000 0.5000 x2  4 Hg 2.89, 4 K 3.23

Results
As for the energy above the most stable polymorph in this dataset: 3.0 kJ/mol of atoms. The formation energy is -0.251 eV per atom. The calculation puts the electronic total energy at -53.71 eV/atom.

---

Entry 2:
A plane-wave DFT calculation with SCAN was carried out for a PBEsol-optimized structure of NaAlGeO4.

a b c (Å): 8.8004 8.2660 17.7674
angles (deg): 90.00 119.60 90.00
With the nearest neighbours (Å) after each atom.
Space group P2_1/c (No. 14)
Symmetry-distinct sites (fractional):
Na 0.0028 0.0430 0.2467 x4  3 O 2.37-2.40
Na 0.2882 0.5256 0.5654 x4  4 O 2.31-2.43
Na 0.3580 0.5328 0.0901 x4  5 O 2.36-2.52
Al 0.0232 0.6691 0.9229 x4  4 O 1.76-1.77
Al 0.3147 0.6700 0.7369 x4  4 O 1.76
Al 0.3489 0.1654 0.9080 x4  4 O 1.76-1.77
Ge 0.0310 0.2176 0.4211 x4  4 O 1.75-1.76
Ge 0.3134 0.2182 0.2331 x4  4 O 1.75-1.76
Ge 0.3472 0.7227 0.4093 x4  4 O 1.75-1.76
O 0.0791 0.7329 0.5220 x4  1 Ge 1.76, 1 Al 1.77
O 0.1161 0.7223 0.1909 x4  1 Ge 1.76, 1 Al 1.76
O 0.1204 0.7269 0.3707 x4  1 Ge 1.76, 1 Al 1.77
O 0.1209 0.0235 0.4500 x4  1 Ge 1.75, 1 Al 1.76
O 0.2043 0.1477 0.9493 x4  1 Ge 1.75, 1 Al 1.76
O 0.2051 0.1494 0.6453 x4  1 Ge 1.75, 1 Al 1.77
O 0.2354 0.2380 0.3067 x4  1 Ge 1.76, 1 Al 1.76
O 0.2590 0.0230 0.1884 x4  1 Ge 1.76, 1 Al 1.76
O 0.4009 0.6443 0.8491 x4  1 Ge 1.75, 1 Al 1.76
O 0.4097 0.5299 0.3930 x4  1 Ge 1.76, 1 Al 1.76
O 0.4548 0.7325 0.0207 x4  1 Ge 1.76, 1 Al 1.77
O 0.4593 0.7417 0.2073 x4  1 Ge 1.75, 1 Al 1.76

Results
As for the energy above the most stable polymorph in this dataset: 0.0 kJ/mol of atoms. The calculation puts the electronic total energy at -10.45 eV/atom.

---

Entry 3:
A plane-wave DFT calculation with SCAN was carried out for a PBEsol-optimized structure of Y2AlPdI.

a b c (Å): 5.5309 5.5309 4.8327
angles (deg): 90.00 90.00 90.00
With the nearest neighbours (Å) after each atom.
Space group P4/mmm (No. 123)
Symmetry-distinct sites (fractional):
Y 0.0000 0.5000 0.0000 x2  2 I 2.77
Al 0.0000 0.0000 0.5000 x1  8 Y 3.67, 4 Pd 3.91
Pd 0.5000 0.5000 0.5000 x1  2 I 2.42
I 0.5000 0.5000 0.0000 x1  2 Pd 2.42

Results
The calculation puts the electronic total energy at -26.36 eV/atom.

---

Entry 4:
A plane-wave DFT calculation with SCAN was carried out for a PBEsol-optimized structure of BaHg2Au2.

a b c (Å): 4.5229 4.5229 12.4245
angles (deg): 90.00 90.00 90.00
With the nearest neighbours (Å) after each atom.
Space group I4/mmm (No. 139)
Symmetry-distinct sites (fractional):
Ba 0.0000 0.0000 0.0000 x2  8 Au 3.47, 8 Hg 3.84
Hg 0.0000 0.5000 0.2500 x4  4 Au 2.87, 4 Hg 3.20
Au 0.0000 0.0000 0.3917 x4  1 Au 2.69, 4 Hg 2.87

Results
The formation energy is -0.564 eV per atom. The calculation puts the electronic total energy at -63.40 eV/atom.

---

Entry 5:
A plane-wave DFT calculation with SCAN was carried out for a PBEsol-optimized structure of NiAs2.

a b c (Å): 4.7115 5.7516 3.5350
angles (deg): 90.00 90.00 90.00
With the nearest neighbours (Å) after each atom.
Space group Pnnm (No. 58)
Symmetry-distinct sites (fractional):
Ni 0.0000 0.0000 0.0000 x2  6 As 2.33-2.37
As 0.2068 0.3671 0.0000 x4  3 Ni 2.33-2.37, 1 As 2.48

Results
The formation energy is -0.321 eV per atom. The calculation puts the electronic total energy at -19.17 eV/atom.

---

Entry 6:
A plane-wave DFT calculation with SCAN was carried out for a PBEsol-optimized structure of Te4Rh.

a b c (Å): 6.4578 6.4578 6.4578
angles (deg): 90.00 90.00 90.00
With the nearest neighbours (Å) after each atom.
Space group Im-3m (No. 229)
Symmetry-distinct sites (fractional):
Te 0.2500 0.2500 0.2500 x8  2 Rh 2.80
Rh 0.0000 0.0000 0.0000 x2  8 Te 2.80

Results
The calculation puts the electronic total energy at -36.47 eV/atom.

---

Entry 7:
A plane-wave DFT calculation with SCAN was carried out for a PBEsol-optimized structure of YCd2.

a b c (Å): 4.3947 6.1223 10.6813
angles (deg): 90.00 90.00 90.00
With the nearest neighbours (Å) after each atom.
Space group Immm (No. 71)
Symmetry-distinct sites (fractional):
Y 0.0000 0.0000 0.1757 x4  8 Cd 3.02-3.26
Cd 0.0000 0.2534 0.5000 x4  6 Cd 3.02-3.10, 4 Y 3.26
Cd 0.0000 0.5000 0.1298 x4  5 Cd 2.77-3.03, 4 Y 3.02-3.10

Results
The formation energy is -0.358 eV per atom. The calculation puts the electronic total energy at -29.92 eV/atom.

---

Entry 8:
A plane-wave DFT calculation with SCAN was carried out for a PBEsol-optimized structure of Mn2BeIn.

a b c (Å): 3.6508 2.7619 10.6807
angles (deg): 90.00 90.00 90.00
With the nearest neighbours (Å) after each atom.
Space group Amm2 (No. 38)
Symmetry-distinct sites (fractional):
Mn 0.0000 0.0000 0.0000 x2  1 Be 2.20
Mn 0.5000 0.0000 0.3698 x2  4 Be 2.43, 4 Mn 2.68
Be 0.0000 0.0000 0.7938 x2  5 Mn 2.20-2.43
In 0.5000 0.0000 0.6355 x2  2 Be 2.49, 4 Mn 2.71, 2 In 2.76

Results
The formation energy is 0.065 eV per atom. The calculation puts the electronic total energy at -18.50 eV/atom.

---

Number 1: calculated volume 25.40 A^3/atom, N(E_F) 0.7 states/eV per cell. Number 2: calculated volume 13.38 A^3/atom, N(E_F) 0.0 states/eV per cell. Number 3: calculated volume 29.57 A^3/atom, N(E_F) 2.3 states/eV per cell. Number 4: calculated volume 25.42 A^3/atom, N(E_F) 3.8 states/eV per cell. Number 5: calculated volume 15.97 A^3/atom, N(E_F) 2.2 states/eV per cell. Number 6: calculated volume 26.93 A^3/atom, N(E_F) 6.3 states/eV per cell. Number 7: calculated volume 23.95 A^3/atom, N(E_F) 7.6 states/eV per cell. Number 8: calculated volume 13.46 A^3/atom, N(E_F) 4.2 states/eV per cell.